The following is a DFT calculation (SCAN) of a crystal of Mg3CrPd relaxed with PBEsol.

Energy of formation from the pure elements ... 0.42 eV per formula unit
Volume ... 23.54 Å³ per atom

abc: 4.901 4.901 4.901
angles: 90.00 90.00 90.00
Space group Pm-3m (No. 221)
One atom of each set of equivalent atoms:
Mg (0.000, 0.000, 0.500)
Cr (0.500, 0.500, 0.500)
Pd (0.000, 0.000, 0.000)